Entry 1:
Below is ReAs4 after structural relaxation, with properties calculated at the PBE-GGA level.

```
ReAs4
1.0
-1.697 1.697 8.887
1.697 -1.697 8.887
1.697 1.697 -8.887
Re As
1 4
Direct
0.000 0.000 0.000
0.250 0.750 0.500
0.423 0.423 0.000
0.577 0.577 0.000
0.750 0.250 0.500
```

As for the electronic total energy: -5.65 eV per atom. The distance to the lowest polymorph of the same formula comes out at 170 meV per atom. Its size of the total moment is 0.000 μB/atom.

Entry 2:
Below is Si2Tc2Pb after structural relaxation, with properties calculated at the PBE-GGA level.

```
Si2Tc2Pb
1.0
7.231 0.000 0.000
0.000 7.231 0.000
0.000 0.000 3.082
Si Tc Pb
4 4 2
Direct
0.133 0.367 0.000
0.367 0.867 0.000
0.633 0.133 0.000
0.867 0.633 0.000
0.151 0.651 0.500
0.349 0.151 0.500
0.651 0.849 0.500
0.849 0.349 0.500
0.000 0.000 0.500
0.500 0.500 0.500
```

As for the electronic total energy: -6.99 eV per atom. The distance to the lowest polymorph of the same formula comes out at 192 meV per atom. Its size of the total moment is 0.000 μB/atom.